A plane-wave DFT calculation with PBE was carried out for an optimized crystal structure of AlTlPd2.

abc: 3.096 3.096 8.734
angles: 79.79 79.79 60.00
Element x y z (fractional)
Tl 0.500 0.500 0.500
Pd 0.261 0.261 0.216
Pd 0.739 0.739 0.784
Al 0.000 0.000 0.000

Magnetization   0.0 μB/f.u.
ΔE to the lowest computed polymorph   118 meV/atom
E   -18.02 eV/cell
ΔE_f   -1.53 eV per formula unit